## NbTe2Br8 (GGA-PBE)

Data for a geometry-optimized NbTe2Br8 structure.

Cell: 7.306 8.664 8.664 Å, 58.50 94.30 94.30°
Site moments in Bohr magnetons follow the coordinates.
Positions (direct):
Nb 0.000 0.000 0.000  -0.12
Te 0.791 0.242 0.242  0.62
Te 0.209 0.758 0.758  0.62
Br 0.182 0.710 0.136  0.09
Br 0.818 0.864 0.290  0.09
Br 0.238 0.131 0.131  0.04
Br 0.762 0.869 0.869  0.04
Br 0.182 0.136 0.710  0.09
Br 0.818 0.290 0.864  0.09
Br 0.626 0.381 0.381  0.14
Br 0.374 0.619 0.619  0.14

Summary:
DOS at the Fermi energy   2.22 states/eV/f.u.
Energy relative to the elements, uncorrected   -380 meV/atom
Final energy   -3.083 eV per atom
Magnetic moment   3.07 μB/cell

---

## Nb2TeBr (GGA-PBE)

Data for a geometry-optimized Nb2TeBr structure.

Cell: 7.348 7.348 6.186 Å, 53.57 53.57 90.00°
Site moments in Bohr magnetons follow the coordinates.
Positions (direct):
Nb 0.589 0.125 0.250  0.86
Nb 0.161 0.625 0.250  0.85
Nb 0.375 0.411 0.750  0.82
Nb 0.875 0.839 0.750  0.86
Te 0.000 0.000 0.000  -0.01
Te 0.750 0.250 0.500  -0.01
Br 0.500 0.500 0.000  0.02
Br 0.250 0.750 0.500  0.02

Summary:
DOS at the Fermi energy   4.94 states/eV/f.u.
Energy relative to the elements, uncorrected   665 meV/atom
Final energy   -5.573 eV per atom
Magnetic moment   4.24 μB/cell
Energy relative to the lowest polymorph listed for this composition   439 meV/atom

---

## Nb2TeBr (GGA-PBE)

Data for a geometry-optimized Nb2TeBr structure.

Cell: 4.800 4.800 4.800 Å, 60.00 60.00 60.00°
Site moments in Bohr magnetons follow the coordinates.
Positions (direct):
Nb 0.250 0.250 0.250  0.76
Nb 0.750 0.750 0.750  0.76
Te 0.500 0.500 0.500  -0.02
Br 0.000 0.000 0.000  -0.01

Summary:
DOS at the Fermi energy   5.28 states/eV/f.u.
Energy relative to the elements, uncorrected   226 meV/atom
Final energy   -6.012 eV per atom
Magnetic moment   1.86 μB/cell
Energy relative to the lowest polymorph listed for this composition   0 meV/atom

---

## Nb3TeBr (GGA-PBE)

Data for a geometry-optimized Nb3TeBr structure.

Cell: 4.808 4.808 4.808 Å, 90.00 90.00 90.00°
Positions (direct):
Nb 0.000 0.500 0.000
Nb 0.000 0.000 0.500
Nb 0.500 0.000 0.000
Te 0.500 0.500 0.500
Br 0.000 0.000 0.000

Summary:
DOS at the Fermi energy   6.80 states/eV/f.u.
Energy relative to the elements, uncorrected   1041 meV/atom
Final energy   -5.964 eV per atom
Magnetic moment   0.00 μB/cell
Energy relative to the lowest polymorph listed for this composition   0 meV/atom

---

## NbTe4Br (GGA-PBE)

Data for a geometry-optimized NbTe4Br structure.

Cell: 6.459 8.178 9.073 Å, 116.79 87.55 90.00°
Positions (direct):
Nb 0.259 0.513 0.026
Nb 0.741 0.487 0.974
Te 0.253 0.693 0.386
Te 0.475 0.178 0.797
Te 0.000 0.236 0.000
Te 0.525 0.382 0.203
Te 0.747 0.307 0.614
Te 0.525 0.822 0.203
Te 0.000 0.764 0.000
Te 0.475 0.618 0.797
Br 0.855 0.784 0.568
Br 0.145 0.216 0.432

Summary:
DOS at the Fermi energy   1.59 states/eV/f.u.
Energy relative to the elements, uncorrected   -226 meV/atom
Final energy   -4.278 eV per atom
Magnetic moment   0.00 μB/cell
Energy relative to the lowest polymorph listed for this composition   164 meV/atom

---

## NbTe3Br (GGA-PBE)

Data for a geometry-optimized NbTe3Br structure.

Cell: 5.761 7.480 8.932 Å, 116.58 80.14 111.40°
Positions (direct):
Nb 0.094 0.291 0.927
Nb 0.906 0.709 0.073
Te 0.131 0.216 0.600
Te 0.614 0.300 0.961
Te 0.019 0.156 0.189
Te 0.869 0.784 0.400
Te 0.981 0.844 0.811
Te 0.386 0.700 0.039
Br 0.369 0.757 0.597
Br 0.631 0.243 0.403

Summary:
DOS at the Fermi energy   2.39 states/eV/f.u.
Energy relative to the elements, uncorrected   -148 meV/atom
Final energy   -4.381 eV per atom
Magnetic moment   0.00 μB/cell
Energy relative to the lowest polymorph listed for this composition   0 meV/atom

---

## NbTe4Br (GGA-PBE)

Data for a geometry-optimized NbTe4Br structure.

Cell: 6.735 8.309 8.315 Å, 113.43 101.63 101.56°
Positions (direct):
Nb 0.750 0.000 0.000
Nb 0.250 0.000 0.000
Te 0.121 0.321 0.167
Te 0.030 0.894 0.223
Te 0.379 0.833 0.679
Te 0.621 0.167 0.321
Te 0.879 0.679 0.833
Te 0.529 0.223 0.894
Te 0.471 0.777 0.106
Te 0.970 0.106 0.777
Br 0.250 0.427 0.573
Br 0.750 0.573 0.427

Summary:
Energy relative to the elements, uncorrected   -390 meV/atom
Final energy   -4.441 eV per atom
Magnetic moment   0.00 μB/cell
Energy relative to the lowest polymorph listed for this composition   0 meV/atom

---

## NbTeBr3 (GGA-PBE)

Data for a geometry-optimized NbTeBr3 structure.

Cell: 5.208 5.208 5.208 Å, 90.00 90.00 90.00°
Site moments in Bohr magnetons follow the coordinates.
Positions (direct):
Nb 0.000 0.000 0.000  0.65
Te 0.500 0.500 0.500  0.06
Br 0.000 0.500 0.000  0.00
Br 0.000 0.000 0.500  0.01
Br 0.500 0.000 0.000  -0.01

Summary:
DOS at the Fermi energy   15.62 states/eV/f.u.
Energy relative to the elements, uncorrected   49 meV/atom
Final energy   -3.597 eV per atom
Magnetic moment   0.88 μB/cell
Energy relative to the lowest polymorph listed for this composition   802 meV/atom

---

## Nb3TeBr (GGA-PBE)

Data for a geometry-optimized Nb3TeBr structure.

Cell: 5.111 5.111 5.111 Å, 90.00 90.00 90.00°
Positions (direct):
Nb 0.000 0.500 0.000
Nb 0.000 0.000 0.500
Nb 0.500 0.000 0.000
Te 0.000 0.000 0.000
Br 0.500 0.500 0.500

Summary:
DOS at the Fermi energy   3.86 states/eV/f.u.
Energy relative to the elements, uncorrected   1502 meV/atom
Final energy   -5.503 eV per atom
Magnetic moment   0.00 μB/cell
Energy relative to the lowest polymorph listed for this composition   461 meV/atom

---

## NbTeBr3 (GGA-PBE)

Data for a geometry-optimized NbTeBr3 structure.

Cell: 7.567 6.978 12.841 Å, 81.93 90.00 90.00°
Positions (direct):
Nb 0.365 0.069 0.351
Nb 0.365 0.931 0.149
Nb 0.635 0.931 0.649
Nb 0.635 0.069 0.851
Te 0.094 0.819 0.305
Te 0.094 0.181 0.195
Te 0.906 0.181 0.695
Te 0.906 0.819 0.805
Br 0.672 0.856 0.042
Br 0.672 0.144 0.458
Br 0.328 0.144 0.958
Br 0.328 0.856 0.542
Br 0.763 0.358 0.929
Br 0.763 0.642 0.571
Br 0.237 0.642 0.071
Br 0.237 0.358 0.429
Br 0.445 0.240 0.697
Br 0.445 0.760 0.803
Br 0.555 0.760 0.303
Br 0.555 0.240 0.197

Summary:
Energy relative to the elements, uncorrected   -753 meV/atom
Final energy   -4.399 eV per atom
Magnetic moment   0.00 μB/cell
Energy relative to the lowest polymorph listed for this composition   0 meV/atom

---

## NbTe2Br5 (GGA-PBE)

Data for a geometry-optimized NbTe2Br5 structure.

Cell: 5.798 8.168 8.166 Å, 82.67 69.21 69.22°
Positions (direct):
Nb 0.943 0.000 0.000
Te 0.527 0.500 0.500
Te 0.070 0.500 0.500
Br 0.878 0.000 0.319
Br 0.197 0.681 0.001
Br 0.879 0.319 0.999
Br 0.198 0.000 0.681
Br 0.531 0.000 0.000

Summary:
DOS at the Fermi energy   3.43 states/eV/f.u.
Energy relative to the elements, uncorrected   -456 meV/atom
Final energy   -3.546 eV per atom
Magnetic moment   0.00 μB/cell

---

## TiNbTeBr2 (GGA-PBE)

Data for a geometry-optimized TiNbTeBr2 structure.

Cell: 5.047 5.768 5.047 Å, 90.00 90.00 90.00°
Site moments in Bohr magnetons follow the coordinates.
Positions (direct):
Nb 0.000 0.000 0.000  1.09
Te 0.000 0.500 0.000  -0.02
Br 0.000 0.000 0.500  0.01
Br 0.500 0.000 0.000  0.02
Ti 0.500 0.500 0.500  -0.03

Summary:
DOS at the Fermi energy   15.49 states/eV/f.u.
Energy relative to the elements, uncorrected   430 meV/atom
Final energy   -4.460 eV per atom
Magnetic moment   1.35 μB/cell

---

## YNbTeBr2 (GGA-PBE)

Data for a geometry-optimized YNbTeBr2 structure.

Cell: 5.221 6.728 5.221 Å, 90.00 90.00 90.00°
Site moments in Bohr magnetons follow the coordinates.
Positions (direct):
Y 0.000 0.000 0.000  0.05
Nb 0.000 0.500 0.000  2.43
Te 0.500 0.500 0.500  -0.30
Br 0.000 0.000 0.500  0.01
Br 0.500 0.000 0.000  0.01

Summary:
DOS at the Fermi energy   3.53 states/eV/f.u.
Energy relative to the elements, uncorrected   108 meV/atom
Final energy   -4.496 eV per atom
Magnetic moment   2.71 μB/cell

---

## TiNb3Br9 (GGA-PBE)

Data for a geometry-optimized TiNb3Br9 structure.

Cell: 9.913 9.817 11.575 Å, 56.17 64.65 59.67°
Site moments in Bohr magnetons follow the coordinates.
Positions (direct):
Ti 0.971 0.495 0.042  -0.07
Ti 0.492 0.995 0.542  -0.07
Nb 0.791 0.743 0.626  1.47
Nb 0.840 0.243 0.126  1.47
Nb 0.974 0.859 0.902  0.72
Nb 0.265 0.359 0.402  0.72
Nb 0.787 0.180 0.743  0.95
Nb 0.289 0.680 0.243  0.95
Br 0.336 0.081 0.371  0.00
Br 0.212 0.581 0.871  0.00
Br 0.504 0.195 0.838  0.04
Br 0.463 0.695 0.338  0.04
Br 0.111 0.134 0.690  0.01
Br 0.064 0.634 0.190  0.01
Br 0.736 0.752 0.041  0.03
Br 0.471 0.252 0.541  0.03
Br 0.754 0.963 0.362  0.01
Br 0.921 0.463 0.862  0.01
Br 0.511 0.794 0.795  0.01
Br 0.899 0.294 0.295  0.01
Br 0.501 0.432 0.162  -0.01
Br 0.905 0.932 0.662  -0.01
Br 0.731 0.525 0.602  0.01
Br 0.142 0.025 0.102  0.01
Br 0.783 0.104 0.002  0.00
Br 0.111 0.604 0.502  0.00

Summary:
DOS at the Fermi energy   3.20 states/eV/f.u.
Energy relative to the elements, uncorrected   -600 meV/atom
Final energy   -4.689 eV per atom
Magnetic moment   7.81 μB/cell

---

## TiNbBr2 (GGA-PBE)

Data for a geometry-optimized TiNbBr2 structure.

Cell: 9.194 9.194 9.194 Å, 20.04 20.04 20.04°
Positions (direct):
Nb 0.000 0.000 0.000
Br 0.902 0.902 0.902
Br 0.098 0.098 0.098
Ti 0.500 0.500 0.500

Summary:
DOS at the Fermi energy   3.10 states/eV/f.u.
Energy relative to the elements, uncorrected   -114 meV/atom
Final energy   -5.441 eV per atom
Magnetic moment   0.00 μB/cell
Energy relative to the lowest polymorph listed for this composition   0 meV/atom

---

## TiNb2Br (GGA-PBE)

Data for a geometry-optimized TiNb2Br structure.

Cell: 4.658 4.658 4.658 Å, 60.00 60.00 60.00°
Positions (direct):
Nb 0.250 0.250 0.250
Nb 0.750 0.750 0.750
Br 0.500 0.500 0.500
Ti 0.000 0.000 0.000

Summary:
DOS at the Fermi energy   4.89 states/eV/f.u.
Energy relative to the elements, uncorrected   665 meV/atom
Final energy   -6.762 eV per atom
Magnetic moment   0.00 μB/cell
Energy relative to the lowest polymorph listed for this composition   124 meV/atom

---

## TiNb2Br (GGA-PBE)

Data for a geometry-optimized TiNb2Br structure.

Cell: 3.910 3.910 10.404 Å, 79.17 79.17 90.00°
Positions (direct):
Nb 0.622 0.125 0.250
Nb 0.128 0.625 0.250
Nb 0.375 0.378 0.750
Nb 0.875 0.872 0.750
Br 0.000 0.000 0.000
Br 0.750 0.250 0.500
Ti 0.500 0.500 0.000
Ti 0.250 0.750 0.500

Summary:
DOS at the Fermi energy   3.30 states/eV/f.u.
Energy relative to the elements, uncorrected   541 meV/atom
Final energy   -6.886 eV per atom
Magnetic moment   0.00 μB/cell
Energy relative to the lowest polymorph listed for this composition   0 meV/atom

---

## TiNbBr2 (GGA-PBE)

Data for a geometry-optimized TiNbBr2 structure.

Cell: 5.980 5.980 7.275 Å, 65.73 65.73 90.00°
Site moments in Bohr magnetons follow the coordinates.
Positions (direct):
Nb 0.000 0.000 0.000  1.65
Nb 0.750 0.250 0.500  1.66
Br 0.613 0.125 0.250  0.01
Br 0.137 0.625 0.250  0.01
Br 0.375 0.387 0.750  0.01
Br 0.875 0.863 0.750  0.01
Ti 0.500 0.500 0.000  1.58
Ti 0.250 0.750 0.500  1.58

Summary:
DOS at the Fermi energy   2.44 states/eV/f.u.
Energy relative to the elements, uncorrected   509 meV/atom
Final energy   -4.819 eV per atom
Magnetic moment   8.22 μB/cell
Energy relative to the lowest polymorph listed for this composition   622 meV/atom

---

## TiNbBr2 (GGA-PBE)

Data for a geometry-optimized TiNbBr2 structure.

Cell: 4.686 4.686 4.686 Å, 60.00 60.00 60.00°
Site moments in Bohr magnetons follow the coordinates.
Positions (direct):
Nb 0.500 0.500 0.500  0.91
Br 0.250 0.250 0.250  0.01
Br 0.750 0.750 0.750  0.01
Ti 0.000 0.000 0.000  1.30

Summary:
DOS at the Fermi energy   4.12 states/eV/f.u.
Energy relative to the elements, uncorrected   296 meV/atom
Final energy   -5.032 eV per atom
Magnetic moment   2.84 μB/cell
Energy relative to the lowest polymorph listed for this composition   409 meV/atom

---

## TiNbBr (GGA-PBE)

Data for a geometry-optimized TiNbBr structure.

Cell: 4.241 3.552 9.480 Å, 100.90 89.99 90.00°
Positions (direct):
Nb 0.750 0.441 0.384
Nb 0.250 0.559 0.616
Ti 0.250 0.941 0.382
Ti 0.750 0.059 0.618
Br 0.750 0.668 0.833
Br 0.250 0.332 0.167

Summary:
DOS at the Fermi energy   2.42 states/eV/f.u.
Energy relative to the elements, uncorrected   -356 meV/atom
Final energy   -6.902 eV per atom
Magnetic moment   0.00 μB/cell